VASP calculation (PBE) on an optimized crystal structure of Ce2HoOs.

Cell: 5.9566 5.9566 9.5647 Å, 90.00 90.00 142.76°
Last column: nearest neighbours and their distance in Å.
Fractional coordinates of all 8 atoms:
1 Ce 0.1401 0.8599 0.5599  2 Os 2.75
2 Ce 0.1401 0.8599 0.9401  2 Os 2.75
3 Ce 0.8599 0.1401 0.0599  2 Os 2.75
4 Ce 0.8599 0.1401 0.4401  2 Os 2.75
5 Ho 0.4234 0.5766 0.7500  3 Os 3.05-3.26
6 Ho 0.5766 0.4234 0.2500  3 Os 3.05-3.26
7 Os 0.2878 0.7122 0.2500  4 Ce 2.75, 2 Ho 3.05
8 Os 0.7122 0.2878 0.7500  4 Ce 2.75, 2 Ho 3.05

Properties
DOS(E_F), states/eV/f.u.: 7.53
Crystal system: orthorhombic
Uncorrected energy, eV per atom: -7.068
Excess energy over the best structure of this formula in the dataset, eV/atom: 0.0000
DFT formation energy, meV per atom: -149

VASP calculation (PBE) on an optimized crystal structure of La3Dy8Y4.

Cell: 9.3058 9.3058 6.8303 Å, 111.47 111.47 87.30°
Last column: nearest neighbours and their distance in Å.
Fractional coordinates of all 15 atoms:
1 La 0.0000 0.0000 0.0000  6 Dy 3.14-3.26
2 La 0.0000 0.5000 0.5000  4 Dy 3.22-3.37, 2 Y 3.42
3 La 0.5000 0.0000 0.5000  4 Dy 3.22-3.37, 2 Y 3.42
4 Dy 0.1418 0.8582 0.5000  7 Dy 3.62-3.66, 4 La 3.64-3.87, 2 Y 3.65
5 Dy 0.2312 0.2312 0.4960  3 La 3.22-3.24, 2 Dy 3.24-3.59, 2 Y 3.51-3.61
6 Dy 0.2348 0.2348 0.9735  4 Y 3.22-3.56, 2 Dy 3.24-3.59, 1 La 3.26
7 Dy 0.2443 0.7557 0.0000  3 La 3.14-3.37, 3 Y 3.28-3.37
8 Dy 0.7557 0.2443 0.0000  3 La 3.14-3.37, 3 Y 3.28-3.37
9 Dy 0.7652 0.7652 0.0265  4 Y 3.22-3.56, 2 Dy 3.24-3.59, 1 La 3.26
10 Dy 0.7688 0.7688 0.5040  3 La 3.22-3.24, 2 Dy 3.24-3.59, 2 Y 3.51-3.61
11 Dy 0.8582 0.1418 0.5000  7 Dy 3.62-3.66, 4 La 3.64-3.87, 2 Y 3.65
12 Y 0.0000 0.5000 0.0000  4 Dy 3.22-3.37, 2 La 3.42
13 Y 0.5000 0.0000 0.0000  4 Dy 3.22-3.37, 2 La 3.42
14 Y 0.5000 0.5000 0.0000  6 Dy 3.28-3.51, 2 Y 3.42
15 Y 0.5000 0.5000 0.5000  2 Y 3.42, 4 Dy 3.56-3.61

Properties
DOS(E_F), states/eV/f.u.: 31.44
Crystal system: monoclinic
Uncorrected energy, eV per atom: -4.782
DFT formation energy, meV per atom: 382

VASP calculation (PBE) on an optimized crystal structure of Zn3In.

Cell: 3.4013 4.2658 5.1612 Å, 90.00 90.00 90.00°
Last column: nearest neighbours and their distance in Å.
Fractional coordinates of all 4 atoms:
1 Zn 0.0000 0.0000 0.0000  4 Zn 2.65-2.73, 4 In 2.93
2 Zn 0.0000 0.5000 0.3057  6 Zn 2.65-2.78
3 Zn 0.5000 0.0000 0.4129  6 Zn 2.73-2.78, 2 In 2.89
4 In 0.5000 0.5000 0.7911  10 Zn 2.89-3.15

Properties
DOS(E_F), states/eV/f.u.: 1.00
Crystal system: orthorhombic
Uncorrected energy, eV per atom: -1.522
DFT formation energy, meV per atom: 118

VASP calculation (PBE) on an optimized crystal structure of CdPbW.

Cell: 5.5819 5.5819 5.5819 Å, 148.50 135.07 55.90°
Last column: nearest neighbours and their distance in Å.
Fractional coordinates of all 3 atoms:
1 Cd 0.0000 0.0000 0.0000  4 W 2.95, 2 Cd 3.03, 5 Pb 3.07-3.21
2 Pb 0.3115 0.3115 0.0000  2 Pb 3.03, 5 Cd 3.07-3.21, 5 W 3.13-3.22
3 W 0.6382 0.6382 0.0000  4 Cd 2.95, 2 W 3.03, 5 Pb 3.13-3.22

Properties
DOS(E_F), states/eV/f.u.: 2.77
Crystal system: orthorhombic
Uncorrected energy, eV per atom: -4.889
Excess energy over the best structure of this formula in the dataset, eV/atom: 0.2088
DFT formation energy, meV per atom: 970

VASP calculation (PBE) on an optimized crystal structure of DyHo2Ti.

Cell: 11.8212 11.8212 11.8212 Å, 16.27 16.27 16.27°
Last column: nearest neighbours and their distance in Å.
Fractional coordinates of all 4 atoms:
1 Dy 0.0000 0.0000 0.0000  6 Dy 3.34, 6 Ho 3.48
2 Ho 0.4161 0.4161 0.4161  1 Ti 2.94
3 Ho 0.5839 0.5839 0.5839  1 Ti 2.94
4 Ti 0.5000 0.5000 0.5000  2 Ho 2.94

Properties
DOS(E_F), states/eV/f.u.: 6.06
Crystal system: trigonal
Uncorrected energy, eV per atom: -4.997
Excess energy over the best structure of this formula in the dataset, eV/atom: 0.2570
DFT formation energy, meV per atom: 416

VASP calculation (PBE) on an optimized crystal structure of ScInNiRh.

Cell: 4.5221 4.5221 4.5221 Å, 60.00 60.00 60.00°
Last column: nearest neighbours and their distance in Å.
Fractional coordinates of all 4 atoms:
1 Sc 0.0000 0.0000 0.0000  4 Ni 2.77, 4 Rh 2.77
2 In 0.5000 0.5000 0.5000  4 Rh 2.77, 4 Ni 2.77
3 Ni 0.2500 0.2500 0.2500  4 In 2.77, 4 Sc 2.77
4 Rh 0.7500 0.7500 0.7500  4 In 2.77, 4 Sc 2.77

Properties
DOS(E_F), states/eV/f.u.: 3.02
Crystal system: cubic
Uncorrected energy, eV per atom: -6.150
DFT formation energy, meV per atom: -599

VASP calculation (PBE) on an optimized crystal structure of Cs2RbYRu.

Cell: 6.9076 6.9076 5.2720 Å, 90.00 90.00 90.00°
Last column: nearest neighbours and their distance in Å.
Fractional coordinates of all 5 atoms:
1 Cs 0.0000 0.5000 0.0000  2 Rb 3.45
2 Cs 0.5000 0.0000 0.0000  2 Rb 3.45
3 Rb 0.0000 0.0000 0.0000  2 Ru 2.64
4 Y 0.5000 0.5000 0.5000  8 Cs 4.34
5 Ru 0.0000 0.0000 0.5000  2 Rb 2.64

Properties
DOS(E_F), states/eV/f.u.: 6.68
Crystal system: tetragonal
Uncorrected energy, eV per atom: -2.141
DFT formation energy, meV per atom: 1542

VASP calculation (PBE) on an optimized crystal structure of TiCdPb.

Cell: 4.8788 4.8788 3.2746 Å, 90.00 90.00 120.00°
Last column: nearest neighbours and their distance in Å.
Fractional coordinates of all 3 atoms:
1 Ti 0.0000 0.0000 0.0000  3 Cd 3.04, 3 Pb 3.04, 2 Ti 3.27
2 Cd 0.6667 0.3333 0.3453  3 Pb 2.99, 3 Ti 3.04, 2 Cd 3.27
3 Pb 0.3333 0.6667 0.6488  3 Cd 2.99, 3 Ti 3.04, 2 Pb 3.27

Properties
DOS(E_F), states/eV/f.u.: 3.33
Crystal system: trigonal
Uncorrected energy, eV per atom: -3.888
Excess energy over the best structure of this formula in the dataset, eV/atom: 0.1134
DFT formation energy, meV per atom: 285